(1)
This record from Alexandria via LeMat-Bulk describes an optimized crystal structure of La4Pa3TiN8. The functional is PBE.

Cell and atoms, written as CIF:
```
data_La4Pa3TiN8
_chemical_formula_sum 'La12 Pa9 Ti3 N24'
_cell_length_a 7.0193
_cell_length_b 7.0193
_cell_length_c 17.7978
_cell_angle_alpha 90.00
_cell_angle_beta 90.00
_cell_angle_gamma 120.00
_space_group_name_H-M_alt 'R -3 m'
_space_group_IT_number 166
_space_group_name_Hall '-R 3 2"'
loop_
_atom_site_label
_atom_site_fract_x
_atom_site_fract_y
_atom_site_fract_z
La1 0.0000 0.0000 0.0000
La2 0.0000 0.5000 0.0000
Pa1 0.0000 0.5000 0.5000
Ti1 0.0000 0.0000 0.5000
N1 0.0000 0.0000 0.2344
N2 0.0115 0.5057 0.2323
```

Computed properties:
density of states at the Fermi level = 25.90 states/eV/cell
total energy = -9.171 eV/atom
theoretical density = 9241 kg/m3

(2)
This record from Alexandria via LeMat-Bulk describes an optimized crystal structure of LaPaTiN4. The functional is PBE.

Cell and atoms, written as CIF:
```
data_LaPaTiN4
_chemical_formula_sum 'La4 Pa4 Ti4 N16'
_cell_length_a 5.547
_cell_length_b 12.467
_cell_length_c 5.580
_cell_angle_alpha 90.00
_cell_angle_beta 90.00
_cell_angle_gamma 90.00
_space_group_name_H-M_alt 'C m c m'
_space_group_IT_number 63
_space_group_name_Hall '-C 2c 2'
loop_
_atom_site_label
_atom_site_fract_x
_atom_site_fract_y
_atom_site_fract_z
La1 0.000 0.106 0.250
Pa1 0.000 0.385 0.250
Ti1 0.000 0.237 0.750
N1 0.000 0.083 0.750
N2 0.000 0.447 0.750
N3 0.250 0.250 0.000
```

Computed properties:
density of states at the Fermi level = 0.75 states/eV/cell
total energy = -9.373 eV/atom
theoretical density = 8155 kg/m3

(3)
This record from Alexandria via LeMat-Bulk describes an optimized crystal structure of La4TmPa3N8. The functional is PBE.

Cell and atoms, written as CIF:
```
data_La4TmPa3N8
_chemical_formula_sum 'La12 Tm3 Pa9 N24'
_cell_length_a 7.1339
_cell_length_b 7.1339
_cell_length_c 17.9837
_cell_angle_alpha 90.00
_cell_angle_beta 90.00
_cell_angle_gamma 120.00
_space_group_name_H-M_alt 'R -3 m'
_space_group_IT_number 166
_space_group_name_Hall '-R 3 2"'
loop_
_atom_site_label
_atom_site_fract_x
_atom_site_fract_y
_atom_site_fract_z
La1 0.0000 0.0000 0.0000
La2 0.0000 0.5000 0.0000
Tm1 0.0000 0.0000 0.5000
Pa1 0.0000 0.5000 0.5000
N1 0.0000 0.0000 0.2339
N2 0.0085 0.5043 0.7654
```

Computed properties:
density of states at the Fermi level = 26.26 states/eV/cell
total energy = -9.038 eV/atom
theoretical density = 9614 kg/m3

(4)
This record from Alexandria via LeMat-Bulk describes an optimized crystal structure of LaTm2PaN4. The functional is PBE.

Cell and atoms, written as CIF:
```
data_LaTm2PaN4
_chemical_formula_sum 'La1 Tm2 Pa1 N4'
_cell_length_a 6.041
_cell_length_b 3.509
_cell_length_c 6.113
_cell_angle_alpha 90.00
_cell_angle_beta 109.18
_cell_angle_gamma 90.00
_space_group_name_H-M_alt 'P 1 2/m 1'
_space_group_IT_number 10
_space_group_name_Hall '-P 2y'
loop_
_atom_site_label
_atom_site_fract_x
_atom_site_fract_y
_atom_site_fract_z
La1 0.000 0.000 0.000
Tm1 0.500 0.000 0.500
Tm2 0.500 0.500 0.000
Pa1 0.000 0.500 0.500
N1 0.256 0.000 0.737
N2 0.256 0.500 0.280
```

Computed properties:
density of states at the Fermi level = 3.23 states/eV/cell
total energy = -8.697 eV/atom
theoretical density = 10364 kg/m3

Question: Which of these has the highest total energy?
Answer: LaTm2PaN4